An optimized crystal structure of Rb3PuNp3Se8, computed with GGA-PBE.

CIF file:
```
data_Rb3PuNp3Se8
_cell_length_a 9.442
_cell_length_b 9.442
_cell_length_c 9.442
_cell_angle_alpha 53.65
_cell_angle_beta 53.65
_cell_angle_gamma 53.65
_space_group_name_H-M_alt 'P 1'
_space_group_IT_number 1
loop_
_space_group_symop_operation_xyz
'x,y,z'
loop_
_atom_site_label
_atom_site_fract_x
_atom_site_fract_y
_atom_site_fract_z
Rb1 0.000 0.500 0.500
Rb2 0.500 0.000 0.500
Rb3 0.500 0.500 0.000
Pu1 0.500 0.500 0.500
Np1 0.000 0.000 0.500
Np2 0.000 0.500 0.000
Np3 0.500 0.000 0.000
Se1 0.224 0.733 0.733
Se2 0.231 0.231 0.231
Se3 0.267 0.267 0.776
Se4 0.267 0.776 0.267
Se5 0.733 0.224 0.733
Se6 0.733 0.733 0.224
Se7 0.769 0.769 0.769
Se8 0.776 0.267 0.267
```

Results
uncorrected formation energy: -1.267 eV per atom

An optimized crystal structure of ZrZn14Ag, computed with GGA-PBE.

CIF file:
```
data_ZrZn14Ag
_cell_length_a 8.644
_cell_length_b 5.636
_cell_length_c 5.636
_cell_angle_alpha 68.65
_cell_angle_beta 90.00
_cell_angle_gamma 90.00
_space_group_name_H-M_alt 'P 1'
_space_group_IT_number 1
loop_
_space_group_symop_operation_xyz
'x,y,z'
loop_
_atom_site_label
_atom_site_fract_x
_atom_site_fract_y
_atom_site_fract_z
Zr1 0.000 0.000 0.000
Zn1 0.000 0.074 0.484
Zn2 0.000 0.484 0.074
Zn3 0.244 0.757 0.757
Zn4 0.257 0.196 0.196
Zn5 0.257 0.260 0.691
Zn6 0.257 0.691 0.260
Zn7 0.500 0.019 0.019
Zn8 0.500 0.089 0.514
Zn9 0.500 0.514 0.089
Zn10 0.500 0.587 0.587
Zn11 0.743 0.196 0.196
Zn12 0.743 0.260 0.691
Zn13 0.743 0.691 0.260
Zn14 0.756 0.757 0.757
Ag1 0.000 0.560 0.560
```

Results
ΔH_f (0 K): -0.0443 eV per atom

An optimized crystal structure of K2Te2Pb, computed with GGA-PBE.

CIF file:
```
data_K2Te2Pb
_cell_length_a 10.137
_cell_length_b 10.137
_cell_length_c 8.580
_cell_angle_alpha 90.00
_cell_angle_beta 90.00
_cell_angle_gamma 150.56
_space_group_name_H-M_alt 'P 1'
_space_group_IT_number 1
loop_
_space_group_symop_operation_xyz
'x,y,z'
loop_
_atom_site_label
_atom_site_fract_x
_atom_site_fract_y
_atom_site_fract_z
K1 0.039 0.961 0.500
K2 0.199 0.801 0.824
K3 0.801 0.199 0.324
K4 0.961 0.039 0.000
Te1 0.178 0.822 0.236
Te2 0.438 0.562 0.296
Te3 0.562 0.438 0.796
Te4 0.822 0.178 0.736
Pb1 0.407 0.593 0.654
Pb2 0.593 0.407 0.154
```

Results
E above lowest polymorph: 0 meV per atom
uncorrected formation energy: -0.778 eV per atom

An optimized crystal structure of La2MgMn, computed with GGA-PBE.

CIF file:
```
data_La2MgMn
_cell_length_a 5.844
_cell_length_b 5.844
_cell_length_c 5.844
_cell_angle_alpha 131.75
_cell_angle_beta 131.75
_cell_angle_gamma 70.63
_space_group_name_H-M_alt 'P 1'
_space_group_IT_number 1
loop_
_space_group_symop_operation_xyz
'x,y,z'
loop_
_atom_site_label
_atom_site_fract_x
_atom_site_fract_y
_atom_site_fract_z
La1 0.000 0.000 0.000
La2 0.750 0.250 0.500
Mg1 0.250 0.750 0.500
Mn1 0.500 0.500 0.000
```

Results
ΔH_f (0 K): 0.2061 eV per atom

An optimized crystal structure of KLa2Fe, computed with GGA-PBE.

CIF file:
```
data_KLa2Fe
_cell_length_a 3.974
_cell_length_b 3.974
_cell_length_c 10.086
_cell_angle_alpha 90.00
_cell_angle_beta 90.00
_cell_angle_gamma 90.09
_space_group_name_H-M_alt 'P 1'
_space_group_IT_number 1
loop_
_space_group_symop_operation_xyz
'x,y,z'
loop_
_atom_site_label
_atom_site_fract_x
_atom_site_fract_y
_atom_site_fract_z
K1 0.000 0.000 0.000
La1 0.000 0.000 0.597
La2 0.500 0.500 0.340
Fe1 0.500 0.500 0.556
```

Results
ΔH_f (0 K): 0.2989 eV per atom
E above lowest polymorph: 139 meV per atom

An optimized crystal structure of Pm6Dy4Sc, computed with GGA-PBE.

CIF file:
```
data_Pm6Dy4Sc
_cell_length_a 5.613
_cell_length_b 5.613
_cell_length_c 25.706
_cell_angle_alpha 90.00
_cell_angle_beta 90.00
_cell_angle_gamma 117.82
_space_group_name_H-M_alt 'P 1'
_space_group_IT_number 1
loop_
_space_group_symop_operation_xyz
'x,y,z'
loop_
_atom_site_label
_atom_site_fract_x
_atom_site_fract_y
_atom_site_fract_z
Pm1 0.000 0.000 0.000
Pm2 0.000 0.000 0.500
Pm3 0.045 0.955 0.750
Pm4 0.300 0.700 0.105
Pm5 0.300 0.700 0.395
Pm6 0.375 0.625 0.683
Pm7 0.375 0.625 0.817
Pm8 0.625 0.375 0.183
Pm9 0.625 0.375 0.317
Pm10 0.700 0.300 0.605
Pm11 0.700 0.300 0.895
Pm12 0.955 0.045 0.250
Dy1 0.043 0.957 0.623
Dy2 0.043 0.957 0.877
Dy3 0.350 0.650 0.544
Dy4 0.350 0.650 0.956
Dy5 0.650 0.350 0.044
Dy6 0.650 0.350 0.456
Dy7 0.957 0.043 0.123
Dy8 0.957 0.043 0.377
Sc1 0.292 0.708 0.250
Sc2 0.708 0.292 0.750
```

Results
ΔH_f (0 K): 0.1289 eV per atom

An optimized crystal structure of CsSn2Te2, computed with GGA-PBE.

CIF file:
```
data_CsSn2Te2
_cell_length_a 9.838
_cell_length_b 9.838
_cell_length_c 4.093
_cell_angle_alpha 90.00
_cell_angle_beta 90.00
_cell_angle_gamma 90.00
_space_group_name_H-M_alt 'P 1'
_space_group_IT_number 1
loop_
_space_group_symop_operation_xyz
'x,y,z'
loop_
_atom_site_label
_atom_site_fract_x
_atom_site_fract_y
_atom_site_fract_z
Cs1 0.000 0.000 0.000
Cs2 0.500 0.500 0.000
Sn1 0.108 0.392 0.500
Sn2 0.392 0.892 0.500
Sn3 0.608 0.108 0.500
Sn4 0.892 0.608 0.500
Te1 0.145 0.645 0.000
Te2 0.355 0.145 0.000
Te3 0.645 0.855 0.000
Te4 0.855 0.355 0.000
```

Results
E above lowest polymorph: 178 meV per atom
uncorrected formation energy: -0.271 eV per atom

An optimized crystal structure of LaCoTc, computed with GGA-PBE.

CIF file:
```
data_LaCoTc
_cell_length_a 3.796
_cell_length_b 3.796
_cell_length_c 8.350
_cell_angle_alpha 90.00
_cell_angle_beta 90.00
_cell_angle_gamma 90.00
_space_group_name_H-M_alt 'P 1'
_space_group_IT_number 1
loop_
_space_group_symop_operation_xyz
'x,y,z'
loop_
_atom_site_label
_atom_site_fract_x
_atom_site_fract_y
_atom_site_fract_z
La1 0.250 0.250 0.174
La2 0.750 0.750 0.826
Co1 0.250 0.250 0.701
Co2 0.750 0.750 0.299
Tc1 0.250 0.750 0.500
Tc2 0.750 0.250 0.500
```

Results
ΔH_f (0 K): 0.0645 eV per atom
E above lowest polymorph: 0 meV per atom